Record 1
{"formula": "In5GaSn4", "functional": "PBE", "state": "relaxed", "lattice": [[3.8690, 0.0000, 0.0000], [0.0000, 3.8690, 0.0000], [0.0000, 0.0000, 17.7626]], "species": ["In", "In", "In", "In", "In", "Ga", "Sn", "Sn", "Sn", "Sn"], "frac_coords": [[0.0000, 0.0000, 0.0000], [0.0000, 0.0000, 0.2051], [0.0000, 0.0000, 0.4096], [0.0000, 0.0000, 0.5904], [0.0000, 0.0000, 0.7949], [0.5000, 0.5000, 0.5000], [0.5000, 0.5000, 0.1030], [0.5000, 0.5000, 0.3089], [0.5000, 0.5000, 0.6911], [0.5000, 0.5000, 0.8970]], "e_tot_ev_per_atom": -3.225, "formation_enthalpy_0k_mev_per_atom": 48}

=====

Record 2
{"formula": "In5Ga4Sn2", "functional": "PBE", "state": "relaxed", "lattice": [[11.2577, -1.6234, 0.0000], [11.2577, 1.6234, 0.0000], [-1.5434, 0.0000, 7.6000]], "species": ["In", "In", "In", "In", "In", "Ga", "Ga", "Ga", "Ga", "Sn", "Sn"], "frac_coords": [[0.0000, 0.0000, 0.0000], [0.3358, 0.3358, 0.0509], [0.3943, 0.3943, 0.7137], [0.6057, 0.6057, 0.2863], [0.6642, 0.6642, 0.9491], [0.1171, 0.1171, 0.6140], [0.4734, 0.4734, 0.3259], [0.5266, 0.5266, 0.6741], [0.8829, 0.8829, 0.3860], [0.2472, 0.2472, 0.6801], [0.7528, 0.7528, 0.3199]], "e_tot_ev_per_atom": -3.012, "formation_enthalpy_0k_mev_per_atom": 62}

=====

Record 3
{"formula": "In2GaSn2", "functional": "PBE", "state": "relaxed", "lattice": [[-2.1424, 2.1424, 7.7238], [2.1424, -2.1424, 7.7238], [2.1424, 2.1424, -7.7238]], "species": ["In", "In", "Ga", "Sn", "Sn"], "frac_coords": [[0.2500, 0.7500, 0.5000], [0.7500, 0.2500, 0.5000], [0.0000, 0.0000, 0.0000], [0.4021, 0.4021, 0.0000], [0.5979, 0.5979, 0.0000]], "e_tot_ev_per_atom": -3.127, "formation_enthalpy_0k_mev_per_atom": 175}

=====

Record 4
{"formula": "InGa5Sn4", "functional": "PBE", "state": "relaxed", "lattice": [[3.6946, 0.0000, 0.0000], [0.0000, 3.6946, 0.0000], [0.0000, 0.0000, 17.0555]], "species": ["In", "Ga", "Ga", "Ga", "Ga", "Ga", "Sn", "Sn", "Sn", "Sn"], "frac_coords": [[0.0000, 0.0000, 0.0000], [0.5000, 0.5000, 0.1010], [0.5000, 0.5000, 0.3004], [0.5000, 0.5000, 0.5000], [0.5000, 0.5000, 0.6996], [0.5000, 0.5000, 0.8990], [0.0000, 0.0000, 0.1984], [0.0000, 0.0000, 0.3988], [0.0000, 0.0000, 0.6012], [0.0000, 0.0000, 0.8016]], "e_tot_ev_per_atom": -3.341, "formation_enthalpy_0k_mev_per_atom": 48}

=====

Record 5
{"formula": "In3Ga12Sn", "functional": "PBE", "state": "relaxed", "lattice": [[4.2301, 0.0000, 0.0000], [0.0000, 4.2301, 0.0000], [0.0000, 0.0000, 18.6731]], "species": ["In", "In", "In", "Ga", "Ga", "Ga", "Ga", "Ga", "Ga", "Ga", "Ga", "Ga", "Ga", "Ga", "Ga", "Sn"], "frac_coords": [[0.0000, 0.0000, 0.0000], [0.0000, 0.0000, 0.2481], [0.0000, 0.0000, 0.7519], [0.0000, 0.5000, 0.1234], [0.0000, 0.5000, 0.3735], [0.0000, 0.5000, 0.6265], [0.0000, 0.5000, 0.8766], [0.5000, 0.0000, 0.1234], [0.5000, 0.0000, 0.3735], [0.5000, 0.0000, 0.6265], [0.5000, 0.0000, 0.8766], [0.5000, 0.5000, 0.0000], [0.5000, 0.5000, 0.2472], [0.5000, 0.5000, 0.5000], [0.5000, 0.5000, 0.7528], [0.0000, 0.0000, 0.5000]], "e_tot_ev_per_atom": -2.980, "formation_enthalpy_0k_mev_per_atom": 54}

=====

Record 6
{"formula": "In6Ga5Sn", "functional": "PBE", "state": "relaxed", "lattice": [[3.1899, -5.2461, 0.0000], [3.1899, 5.2461, 0.0000], [-1.5965, 0.0000, 8.7208]], "species": ["In", "In", "In", "In", "In", "In", "Ga", "Ga", "Ga", "Ga", "Ga", "Sn"], "frac_coords": [[0.0568, 0.4104, 0.7324], [0.2131, 0.2131, 0.2370], [0.4104, 0.0568, 0.7324], [0.5896, 0.9432, 0.2676], [0.7869, 0.7869, 0.7630], [0.9432, 0.5896, 0.2676], [0.0000, 0.0000, 0.5000], [0.1885, 0.8115, 0.0000], [0.3632, 0.6368, 0.5000], [0.6368, 0.3632, 0.5000], [0.8115, 0.1885, 0.0000], [0.5000, 0.5000, 0.0000]], "e_tot_ev_per_atom": -2.915, "formation_enthalpy_0k_mev_per_atom": 49}